Density functional theory data (GGA+U) for CoBF2 after structural relaxation.

POSCAR file:
```
CoBF2
1.0
-1.339 -2.585 -4.670
-2.903 -3.688 2.873
-5.844 -0.508 -1.286
B Co F
2 2 4
direct
0.500 0.500 0.000
0.250 0.750 0.500
0.000 0.000 0.000
0.750 0.250 0.500
0.738 0.125 0.250
0.012 0.625 0.250
0.375 0.262 0.750
0.875 0.988 0.750
```

Properties
Polymorph energy (0 for the lowest one) = 0.4347 eV/atom
DOS(E_F) = 0.229 states/eV/atom
Theoretical density = 2.58 g/cm3
V = 138.5 Å³ per cell
Total DFT energy (no corrections) = -3.95 eV per atom